# 1
This record from Alexandria describes crystalline Pa7Sb at its relaxed geometry. The functional is GGA-PBE.

a b c (Å): 6.5279 6.5279 6.5279
angles (deg): 60.00 60.00 60.00
Fractional coordinates of all 8 atoms:
Pa1 0.5000 0.5000 0.5000
Pa2 0.5000 0.5000 0.0000
Pa3 0.5000 0.0000 0.0000
Pa4 0.0000 0.5000 0.5000
Pa5 0.0000 0.5000 0.0000
Pa6 0.5000 0.0000 0.5000
Pa7 0.0000 0.0000 0.5000
Sb1 0.0000 0.0000 0.0000

Values from the calculation:
- Energy relative to the elements, uncorrected: -232 meV per atom
- Space group: Fm-3m (225)



# 2
This record from Alexandria describes crystalline PuSb2 at its relaxed geometry. The functional is GGA-PBE.

a b c (Å): 6.2360 6.2360 6.2360
angles (deg): 60.00 60.00 60.00
Site moments in Bohr magnetons follow the coordinates.
Fractional coordinates of all 6 atoms:
Sb1 0.6250 0.6250 0.1250  -0.08
Pu1 0.2500 0.2500 0.2500  5.63
Sb2 0.6250 0.1250 0.6250  -0.08
Sb3 0.6250 0.6250 0.6250  -0.08
Pu2 0.0000 0.0000 0.0000  5.63
Sb4 0.1250 0.6250 0.6250  -0.08

Values from the calculation:
- Energy relative to the elements, uncorrected: -67 meV per atom
- Space group: Fd-3m (227)



Magnetization
In order: 0.000 1.922
Unit: μB per atom